UZn: relaxed, GGA-PBE.

Output
For the formation energy, the calculation gives 0.3 eV/f.u. The value obtained for the magnetic moment is 3.492 μB per cell.

CIF file:
```
data_UZn
_chemical_formula_sum 'U4 Zn4'
_cell_length_a 4.6100
_cell_length_b 6.8680
_cell_length_c 4.7155
_cell_angle_alpha 90.00
_cell_angle_beta 90.00
_cell_angle_gamma 90.00
_symmetry_space_group_name_H-M 'P m m 2'
_symmetry_Int_Tables_number 25
_symmetry_space_group_name_Hall 'P 2 -2'
loop_
_atom_site_label
_atom_site_fract_x
_atom_site_fract_y
_atom_site_fract_z
U1 0.0000 0.0000 0.0000
U2 0.0000 0.2299 0.5412
U3 0.5000 0.0000 0.5009
Zn1 0.0000 0.5000 0.0458
Zn2 0.5000 0.2935 0.0038
Zn3 0.5000 0.5000 0.4912
```

=====

UZn2: relaxed, GGA-PBE.

Output
For the formation energy, the calculation gives 0.2 eV/f.u. The value obtained for the magnetic moment is 7.610 μB per cell.

CIF file:
```
data_UZn2
_chemical_formula_sum 'U4 Zn8'
_cell_length_a 10.8529
_cell_length_b 4.7709
_cell_length_c 4.1500
_cell_angle_alpha 90.00
_cell_angle_beta 90.00
_cell_angle_gamma 90.00
_symmetry_space_group_name_H-M 'C m c m'
_symmetry_Int_Tables_number 63
_symmetry_space_group_name_Hall '-C 2c 2'
loop_
_atom_site_label
_atom_site_fract_x
_atom_site_fract_y
_atom_site_fract_z
U1 0.0000 0.1646 0.2500
Zn1 0.1899 0.3418 0.7500
```

=====

UZn: relaxed, GGA-PBE.

Output
For the formation energy, the calculation gives 0.2 eV/f.u. The value obtained for the magnetic moment is 0.041 μB per cell.

CIF file:
```
data_UZn
_chemical_formula_sum 'U6 Zn6'
_cell_length_a 6.3535
_cell_length_b 4.5485
_cell_length_c 7.7771
_cell_angle_alpha 90.00
_cell_angle_beta 96.97
_cell_angle_gamma 90.00
_symmetry_space_group_name_H-M 'P 1 21/m 1'
_symmetry_Int_Tables_number 11
_symmetry_space_group_name_Hall '-P 2yb'
loop_
_atom_site_label
_atom_site_fract_x
_atom_site_fract_y
_atom_site_fract_z
U1 0.0702 0.2500 0.1286
U2 0.1957 0.2500 0.8316
U3 0.4124 0.7500 0.8785
Zn1 0.1165 0.7500 0.5247
Zn2 0.3439 0.7500 0.2673
Zn3 0.3577 0.2500 0.4753
```

=====

U3Zn4: relaxed, GGA-PBE.

Output
For the formation energy, the calculation gives 1.1 eV/f.u. The value obtained for the magnetic moment is 11.552 μB per cell. The value obtained for the excess energy over the best structure of this formula in the dataset is 39 meV/atom.

CIF file:
```
data_U3Zn4
_chemical_formula_sum 'U6 Zn8'
_cell_length_a 8.2842
_cell_length_b 4.3869
_cell_length_c 8.2852
_cell_angle_alpha 90.00
_cell_angle_beta 119.99
_cell_angle_gamma 90.00
_symmetry_space_group_name_H-M 'P 1 m 1'
_symmetry_Int_Tables_number 6
_symmetry_space_group_name_Hall 'P -2y'
loop_
_atom_site_label
_atom_site_fract_x
_atom_site_fract_y
_atom_site_fract_z
U1 0.0000 0.0000 0.0000
U2 0.0618 0.5000 0.2013
U3 0.1304 0.0000 0.6699
U4 0.4603 0.0000 0.1318
U5 0.5997 0.5000 0.0703
U6 0.9296 0.5000 0.5305
Zn1 0.1969 0.5000 0.9334
Zn2 0.3274 0.0000 0.4218
Zn3 0.3512 0.5000 0.6249
Zn4 0.5069 0.5000 0.3979
Zn5 0.5546 0.0000 0.8044
Zn6 0.7100 0.0000 0.5770
Zn7 0.7341 0.5000 0.7805
Zn8 0.8635 0.0000 0.2668
```